# GGA-PBE La3Ce2DyY6, relaxed
data_La3Ce2DyY6
_symmetry_space_group_name_H-M 'C 1 2/m 1'
_symmetry_Int_Tables_number 12
_cell_length_a 6.2547
_cell_length_b 10.8347
_cell_length_c 11.8745
_cell_angle_alpha 90.00
_cell_angle_beta 100.11
_cell_angle_gamma 90.00
loop_
_symmetry_equiv_pos_as_xyz
'x,y,z'
'-x,-y,-z'
'-x,y,-z'
'x,-y,z'
'x+1/2,y+1/2,z'
'-x+1/2,-y+1/2,-z'
'-x+1/2,y+1/2,-z'
'x+1/2,-y+1/2,z'
loop_
_atom_site_label
_atom_site_type_symbol
_atom_site_fract_x
_atom_site_fract_y
_atom_site_fract_z
_atom_site_occupancy
La1 La 0.0000 0.0000 0.0000 1
La2 La 0.0000 0.3344 0.0000 1
Ce1 Ce 0.0000 0.1664 0.5000 1
Dy1 Dy 0.0000 0.5000 0.5000 1
Y1 Y 0.2461 0.0000 0.7440 1
Y2 Y 0.2488 0.3324 0.7440 1
# Energy relative to the elements = 0.046 eV per atom
# Total DFT energy (no corrections) = -138.98 eV for the cell shown
# Magnetic moment = 2.0 μB per formula unit